A plane-wave DFT calculation with PBE was carried out for a relaxed ScReIO2 crystal.

Cell lengths 4.044, 4.044, 6.085 Å; angles 90.00, 90.00, 90.00 degrees
Last column: magnetic moment on the atom in μB.
Element x y z (fractional)
I: 0.000 0.000 0.500  0.02
O: 0.500 0.000 0.000  0.35
O: 0.000 0.500 0.000  0.35
Sc: 0.000 0.000 0.000  -0.04
Re: 0.500 0.500 0.500  3.11

Summary:
**E_tot**: -6.350 eV per atom
**Space group**: No. 123
**Energy above the most stable polymorph in this dataset**: 0.281 eV per atom
**Formation energy from raw total energies**: -0.30 eV/atom